Material: Rb2PPtI
Method: DFT, PBE
State: relaxed

abc: 6.7375 6.7375 4.3581
angles: 90.00 90.00 90.00
Last column: nearest neighbours and their distance in Å.
Space group P4/mmm (No. 123)
Inequivalent atoms, fractional coordinates:
Rb 0.0000 0.5000 0.0000  2 P 3.37
P 0.0000 0.0000 0.0000  2 Pt 2.18
Pt 0.0000 0.0000 0.5000  2 P 2.18
I 0.5000 0.5000 0.5000  8 Rb 4.01, 2 I 4.36

Output
Its magnetic moment is 0.00 μB per cell. Its energy above the lowest structure with this stoichiometry is 0.0182 eV per atom. For the raw total energy, the calculation gives -3.71 eV per atom. For the uncorrected formation energy, the calculation gives -0.719 eV per atom.